No. 1
The following is a DFT calculation (PBE-GGA) of a geometry-optimized Hf2AlV2Ru5 structure.

## Properties
calculated volume	313	Å³ per cell

Lattice parameters (Å, degrees): 3.174 9.925 9.925 90.00 90.00 90.00
Positions (direct):
Al (0.000, 0.500, 0.500)
V (0.000, 0.869, 0.369)
Ru (0.500, 0.063, 0.801)
V (0.000, 0.369, 0.131)
Ru (0.500, 0.801, 0.937)
Hf (0.000, 0.828, 0.672)
Ru (0.500, 0.937, 0.199)
Ru (0.500, 0.563, 0.699)
V (0.000, 0.131, 0.631)
Ru (0.500, 0.000, 0.500)
Ru (0.500, 0.699, 0.437)
Hf (0.000, 0.172, 0.328)
Ru (0.500, 0.301, 0.563)
Ru (0.500, 0.199, 0.063)
Hf (0.000, 0.328, 0.828)
Ru (0.500, 0.500, 0.000)
Hf (0.000, 0.672, 0.172)
V (0.000, 0.631, 0.869)
Ru (0.500, 0.437, 0.301)
Al (0.000, 0.000, 0.000)

=====

No. 2
The following is a DFT calculation (PBE-GGA) of a geometry-optimized Ce5PuIr2 structure.

## Properties
calculated volume	380	Å³ per cell

Lattice parameters (Å, degrees): 6.234 7.425 8.830 95.34 110.67 90.00
Each line ends with the local moment (μB).
Positions (direct):
Ce (0.528, 0.571, 0.788)  -0.04
Ce (0.905, 0.250, 0.000)  -0.20
Pu (0.000, 0.000, 0.500)  1.48
Ce (0.119, 0.313, 0.437)  0.00
Ce (0.318, 0.813, 0.437)  0.00
Ce (0.682, 0.187, 0.563)  0.00
Ce (0.472, 0.429, 0.212)  -0.04
Ce (0.740, 0.929, 0.212)  -0.04
Pu (0.500, 0.500, 0.500)  1.48
Ce (0.260, 0.071, 0.788)  -0.04
Ir (0.111, 0.438, 0.824)  0.02
Ir (0.713, 0.938, 0.824)  0.02
Ir (0.287, 0.062, 0.176)  0.02
Ce (0.095, 0.750, 0.000)  -0.20
Ce (0.881, 0.687, 0.563)  0.00
Ir (0.889, 0.562, 0.176)  0.02

=====

The evaluated M_tot for the records listed, in turn: 0.00, 0.13 μB per atom.
The evaluated formation energy for the records listed, in turn: -0.336, -0.319 eV/atom.